Entry from Alexandria via LeMat-Bulk: a geometry-optimized NaSrAcCd structure (GGA-PBE).

Unit cell a=5.909 b=5.909 c=5.909 alpha=60.00 beta=60.00 gamma=60.00
Element x y z (fractional)
1 Ac 0.000 0.000 0.000
2 Sr 0.500 0.500 0.500
3 Cd 0.750 0.750 0.750
4 Na 0.250 0.250 0.250

Values from the calculation:
**Energy of formation**: -0.07 eV per atom
**Density**: 5.12 g cm⁻³
**SG**: No. 216
**Density of states at the Fermi level**: 0.666 states/eV/atom
**Total magnetization**: 0.000 μB per atom

---

Entry from Alexandria via LeMat-Bulk: a geometry-optimized Cd12In5Ga3 structure (GGA-PBE).

Unit cell a=14.451 b=14.451 c=14.451 alpha=109.47 beta=109.47 gamma=109.47
Element x y z (fractional)
1 Cd 0.261 0.395 0.833
2 Cd 0.833 0.938 0.072
3 Cd 0.072 0.635 0.739
4 Cd 0.072 0.438 0.833
5 Cd 0.739 0.605 0.167
6 Cd 0.895 0.062 0.635
7 Cd 0.928 0.562 0.167
8 Cd 0.105 0.167 0.239
9 Cd 0.865 0.261 0.428
10 Cd 0.572 0.239 0.135
11 Cd 0.239 0.667 0.105
12 Cd 0.667 0.428 0.562
13 Cd 0.938 0.833 0.572
14 Cd 0.365 0.928 0.761
15 Cd 0.635 0.562 0.895
16 Cd 0.062 0.167 0.428
17 Cd 0.928 0.365 0.261
18 Cd 0.635 0.072 0.239
19 Cd 0.239 0.572 0.635
20 Cd 0.833 0.895 0.261
21 Cd 0.895 0.833 0.761
22 Cd 0.135 0.739 0.572
23 Cd 0.605 0.739 0.667
24 Cd 0.761 0.428 0.365
25 Cd 0.062 0.895 0.135
26 Cd 0.395 0.135 0.562
27 Cd 0.739 0.135 0.072
28 Cd 0.562 0.928 0.667
29 Cd 0.333 0.572 0.438
30 Cd 0.261 0.865 0.928
31 Cd 0.333 0.761 0.395
32 Cd 0.365 0.438 0.105
33 Cd 0.395 0.261 0.333
34 Cd 0.938 0.105 0.865
35 Cd 0.438 0.365 0.605
36 Cd 0.438 0.072 0.333
37 Cd 0.605 0.865 0.438
38 Cd 0.667 0.239 0.605
39 Cd 0.562 0.635 0.395
40 Cd 0.572 0.333 0.938
41 Cd 0.428 0.667 0.062
42 Cd 0.167 0.062 0.928
43 Cd 0.761 0.333 0.895
44 Cd 0.865 0.605 0.938
45 Cd 0.428 0.761 0.865
46 Cd 0.105 0.938 0.365
47 Cd 0.135 0.395 0.062
48 Cd 0.167 0.105 0.739
49 In 0.875 0.250 0.625
50 In 0.250 0.375 0.625
51 In 0.000 0.000 0.000
52 In 0.125 0.750 0.375
53 In 0.500 0.000 0.500
54 In 0.500 0.500 0.500
55 In 0.875 0.625 0.750
56 In 0.625 0.875 0.250
57 In 0.125 0.375 0.250
58 In 0.000 0.500 0.000
59 In 0.375 0.125 0.750
60 In 0.750 0.125 0.875
61 In 0.625 0.750 0.875
62 In 0.750 0.625 0.375
63 In 0.250 0.875 0.125
64 In 0.000 0.500 0.500
65 In 0.500 0.000 0.000
66 In 0.500 0.500 0.000
67 In 0.000 0.000 0.500
68 In 0.375 0.250 0.125
69 Ga 0.750 0.375 0.125
70 Ga 0.875 0.750 0.125
71 Ga 0.250 0.125 0.375
72 Ga 0.375 0.750 0.625
73 Ga 0.875 0.125 0.250
74 Ga 0.750 0.875 0.625
75 Ga 0.125 0.250 0.875
76 Ga 0.375 0.625 0.250
77 Ga 0.625 0.375 0.750
78 Ga 0.125 0.875 0.750
79 Ga 0.625 0.250 0.375
80 Ga 0.250 0.625 0.875

Values from the calculation:
**Energy of formation**: 0.21 eV per atom
**Density**: 6.10 g cm⁻³
**SG**: No. 230
**Density of states at the Fermi level**: 0.655 states/eV/atom
**Total magnetization**: 0.000 μB per atom

---

Entry from Alexandria via LeMat-Bulk: a geometry-optimized Nb3AuN structure (GGA-PBE).

Unit cell a=4.604 b=11.840 c=6.322 alpha=90.00 beta=90.00 gamma=90.00
Element x y z (fractional)
1 Au 0.000 0.500 0.500
2 Au 0.500 0.500 0.000
3 Au 0.000 0.000 0.500
4 Au 0.500 0.000 0.000
5 Nb 0.500 0.119 0.383
6 Nb 0.500 0.250 0.921
7 Nb 0.500 0.381 0.383
8 Nb 0.000 0.881 0.883
9 Nb 0.000 0.119 0.117
10 Nb 0.000 0.619 0.883
11 Nb 0.500 0.881 0.617
12 Nb 0.000 0.250 0.579
13 Nb 0.500 0.619 0.617
14 Nb 0.500 0.750 0.079
15 Nb 0.000 0.750 0.421
16 Nb 0.000 0.381 0.117
17 N 0.000 0.250 0.909
18 N 0.000 0.750 0.091
19 N 0.500 0.750 0.409
20 N 0.500 0.250 0.591

Values from the calculation:
**Formation energy from raw total energies**: -5.414 kcal/mol of atoms
**Density**: 9.44 g cm⁻³
**SG**: No. 74
**Density of states at the Fermi level**: 0.753 states/eV/atom
**Total magnetization**: 0.000 μB per atom

---

Entry from Alexandria via LeMat-Bulk: a geometry-optimized BeH2Ru structure (GGA-PBE).

Unit cell a=3.044 b=3.044 c=4.274 alpha=69.14 beta=69.14 gamma=60.00
Element x y z (fractional)
1 Be 0.000 0.000 0.000
2 H 0.872 0.872 0.384
3 H 0.128 0.128 0.616
4 Ru 0.500 0.500 0.500

Values from the calculation:
**Density**: 5.95 g cm⁻³
**SG**: No. 166
**Density of states at the Fermi level**: 0.486 states/eV/atom
**Total magnetization**: 0.000 μB per atom
**DFT total energy**: -18.85 eV per cell

---

Entry from Alexandria via LeMat-Bulk: a geometry-optimized TbHf2Zr structure (GGA-PBE).

Unit cell a=3.244 b=3.244 c=10.869 alpha=81.42 beta=81.42 gamma=60.00
Element x y z (fractional)
1 Hf 0.746 0.746 0.763
2 Hf 0.254 0.254 0.237
3 Zr 0.000 0.000 0.000
4 Tb 0.500 0.500 0.500

Values from the calculation:
**Energy of formation**: 0.14 eV per atom
**Density**: 10.33 g cm⁻³
**SG**: No. 166
**Density of states at the Fermi level**: 1.363 states/eV/atom
**Total magnetization**: 0.000 μB per atom

---

Entry from Alexandria via LeMat-Bulk: a geometry-optimized Al2ZnRhC structure (GGA-PBE).

Unit cell a=3.970 b=4.145 c=3.970 alpha=90.00 beta=90.00 gamma=90.00
Element x y z (fractional)
1 Zn 0.000 0.500 0.000
2 Rh 0.500 0.500 0.500
3 Al 0.000 0.000 0.500
4 Al 0.500 0.000 0.000
5 C 0.000 0.000 0.000

Values from the calculation:
**Energy of formation**: 0.14 eV per atom
**Density**: 5.96 g cm⁻³
**SG**: No. 123
**Density of states at the Fermi level**: 0.481 states/eV/atom
**Total magnetization**: 0.000 μB per atom

---

Entry from Alexandria via LeMat-Bulk: a geometry-optimized AgTe2 structure (GGA-PBE).

Unit cell a=6.167 b=6.167 c=6.167 alpha=38.62 beta=38.62 gamma=38.62
Element x y z (fractional)
1 Te 0.236 0.236 0.236
2 Te 0.764 0.764 0.764
3 Ag 0.000 0.000 0.000

Values from the calculation:
**Formation energy from raw total energies**: 2.679 kcal/mol of atoms
**Density**: 7.34 g cm⁻³
**SG**: No. 166
**Density of states at the Fermi level**: 0.766 states/eV/atom
**Total magnetization**: 0.000 μB per atom

---

Entry from Alexandria via LeMat-Bulk: a geometry-optimized TiP3Pd structure (GGA-PBE).

Unit cell a=4.628 b=4.628 c=4.628 alpha=90.00 beta=90.00 gamma=90.00
Element x y z (fractional)
1 Ti 0.000 0.000 0.000
2 Pd 0.500 0.500 0.500
3 P 0.000 0.500 0.000
4 P 0.000 0.000 0.500
5 P 0.500 0.000 0.000

Values from the calculation:
**Energy of formation**: 0.40 eV per atom
**Density**: 4.14 g cm⁻³
**SG**: No. 221
**Density of states at the Fermi level**: 0.739 states/eV/atom
**Total magnetization**: 0.000 μB per atom

---

Entry from Alexandria via LeMat-Bulk: a geometry-optimized Dy3H2 structure (GGA-PBE).

Unit cell a=6.282 b=6.282 c=6.591 alpha=61.54 beta=61.54 gamma=60.00
Element x y z (fractional)
1 Dy 0.418 0.082 0.750
2 Dy 0.582 0.918 0.250
3 Dy 0.918 0.250 0.250
4 Dy 0.082 0.750 0.750
5 Dy 0.250 0.582 0.250
6 Dy 0.750 0.418 0.750
7 H 0.668 0.668 0.997
8 H 0.332 0.332 0.003
9 H 0.832 0.832 0.503
10 H 0.168 0.168 0.497

Values from the calculation:
**Density**: 8.64 g cm⁻³
**SG**: No. 167
**Density of states at the Fermi level**: 0.851 states/eV/atom
**Total magnetization**: 0.000 μB per atom
**DFT total energy**: -43.94 eV per cell

---

Entry from Alexandria via LeMat-Bulk: a geometry-optimized ZrBiSbI2 structure (GGA-PBE).

Unit cell a=5.808 b=5.808 c=6.028 alpha=90.00 beta=90.00 gamma=90.00
Each line ends with the local moment (μB).
Element x y z (fractional)
1 Sb 0.000 0.000 0.000  0.01
2 Bi 0.000 0.000 0.500  -0.26
3 I 0.000 0.500 0.000  -0.03
4 I 0.500 0.000 0.000  -0.03
5 Zr 0.500 0.500 0.500  1.41

Values from the calculation:
**Formation energy from raw total energies**: 19.032 kcal/mol of atoms
**Density**: 5.52 g cm⁻³
**SG**: No. 123
**Density of states at the Fermi level**: 1.334 states/eV/atom
**Total magnetization**: 0.352 μB per atom

---

Entry from Alexandria via LeMat-Bulk: a geometry-optimized K2CuPSe structure (GGA-PBE).

Unit cell a=6.213 b=4.125 c=6.213 alpha=90.00 beta=90.00 gamma=90.00
Element x y z (fractional)
1 Se 0.500 0.500 0.500
2 P 0.000 0.500 0.000
3 K 0.500 0.000 0.000
4 K 0.000 0.000 0.500
5 Cu 0.000 0.000 0.000

Values from the calculation:
**Formation energy from raw total energies**: -4.374 kcal/mol of atoms
**Density**: 2.62 g cm⁻³
**SG**: No. 123
**Density of states at the Fermi level**: 0.958 states/eV/atom
**Total magnetization**: 0.000 μB per atom

---

Entry from Alexandria via LeMat-Bulk: a geometry-optimized Cr2NiBr structure (GGA-PBE).

Unit cell a=3.085 b=3.167 c=6.755 alpha=89.85 beta=90.00 gamma=90.00
Each line ends with the local moment (μB).
Element x y z (fractional)
1 Cr 0.500 0.250 0.262  -2.52
2 Cr 0.000 0.751 0.059  2.94
3 Ni 0.000 0.749 0.439  -0.07
4 Br 0.500 0.750 0.740  -0.01

Values from the calculation:
**Formation energy from raw total energies**: 8.421 kcal/mol of atoms
**Density**: 6.10 g cm⁻³
**SG**: No. 6
**Density of states at the Fermi level**: 0.908 states/eV/atom
**Total magnetization**: 0.111 μB per atom